[1]
A plane-wave DFT calculation with PBE was carried out for crystalline BaLi4Pu3O12 at its relaxed geometry.

POSCAR file:
```
BaLi4Pu3O12
1.0
-3.952 -5.860 -0.325
6.742 -2.137 -0.180
-1.044 2.746 6.436
Ba Li Pu O
1 4 3 12
Cartesian
0.000 0.000 0.000
-3.746 -4.233 2.903
2.130 1.092 5.887
4.237 -4.735 0.108
0.873 -2.625 2.966
0.725 -4.232 -0.262
-2.316 -1.018 3.479
3.337 -0.001 2.714
-0.431 -1.807 4.074
-0.282 -6.044 0.280
5.121 -1.147 3.024
-2.219 -0.685 5.594
4.795 -3.462 1.380
0.405 0.352 6.050
-2.433 -5.206 1.965
2.429 -5.224 -0.104
3.388 0.453 4.639
-3.344 -2.663 3.864
0.386 -4.067 1.833
2.665 -2.002 2.990
```

## Properties
The raw formation energy comes out at -48.4 eV per formula unit. The symmetry is R32, No. 155. The calculation puts the magnetization at 6.0 μB per cell. The value obtained for the density of states at the Fermi level is 9.8 states/eV per cell.


[2]
A plane-wave DFT calculation with PBE was carried out for crystalline Ba3Li2PuO9 at its relaxed geometry.

POSCAR file:
```
Ba3Li2PuO9
1.0
5.830 0.000 0.000
-2.915 5.049 0.000
0.000 0.000 7.519
Ba Li Pu O
3 2 1 9
Cartesian
0.000 3.366 5.282
0.000 0.000 0.000
2.915 1.683 2.237
0.000 3.366 1.305
2.915 1.683 6.214
0.000 0.000 3.759
4.441 0.802 4.924
2.915 3.445 4.924
1.389 0.802 4.924
1.526 4.247 2.594
0.000 1.604 2.594
-1.526 4.247 2.594
2.915 0.000 0.000
-1.457 2.524 0.000
1.457 2.524 0.000
```

## Properties
The raw formation energy comes out at -32.4 eV per formula unit. The symmetry is P-3m1, No. 164. The calculation puts the magnetization at 2.6 μB per cell. The value obtained for the density of states at the Fermi level is 8.9 states/eV per cell.